# 1
Entry from the Alexandria database: VCrSCl2 after structural relaxation (GGA-PBE).

Unit cell a=4.825 b=4.825 c=4.639 alpha=90.00 beta=90.00 gamma=90.00
Positions (direct):
Cr 0.500 0.500 0.500
S 0.000 0.000 0.500
Cl 0.500 0.000 0.000
Cl 0.000 0.500 0.000
V 0.000 0.000 0.000

Output
* size of the total moment: 7.0 μB/f.u.
* uncorrected energy: -0.409 Ry/atom
* ΔE to the lowest computed polymorph: 0.000 eV per atom
* crystal system: tetragonal
* formation energy (no corrections): -0.259 eV/atom
* density of states at the Fermi level: 3.10 states/eV per cell


# 2
Entry from the Alexandria database: NiSb2PtI after structural relaxation (GGA-PBE).

Unit cell a=4.909 b=4.909 c=5.099 alpha=90.00 beta=90.00 gamma=90.00
Positions (direct):
I 0.000 0.000 0.500
Ni 0.000 0.000 0.000
Sb 0.000 0.500 0.000
Sb 0.500 0.000 0.000
Pt 0.500 0.500 0.500

Output
* size of the total moment: 0.0 μB/f.u.
* uncorrected energy: -0.271 Ry/atom
* ΔE to the lowest computed polymorph: 0.000 eV per atom
* crystal system: tetragonal
* formation energy (no corrections): 0.632 eV/atom
* density of states at the Fermi level: 3.32 states/eV per cell